Entry 1:
DFT (GGA-PBE) results for crystalline MgAgOs2 at its relaxed geometry.

Calculated total energy ... -6.39 eV per atom
Volume ... 15.8 Å³/atom

Lattice parameters (Å, degrees): 4.7040 4.7040 5.0578 82.54 82.54 34.78
Fractional coordinates of all 4 atoms:
Ag: 0.4981 0.4981 0.4721
Mg: 0.2512 0.2512 0.2725
Os: 0.0050 0.0050 0.9576
Os: 0.7457 0.7457 0.7978

***

Entry 2:
DFT (GGA-PBE) results for crystalline MgAgOs2 at its relaxed geometry.

Calculated total energy ... -6.27 eV per atom
Volume ... 15.7 Å³/atom

Lattice parameters (Å, degrees): 5.4933 5.4933 2.7370 77.16 77.16 121.48
Fractional coordinates of all 4 atoms:
Ag: 0.5000 0.0000 0.5000
Mg: 0.0000 0.5000 0.5000
Os: 0.0000 0.0000 0.0000
Os: 0.5000 0.5000 0.0000

***

Entry 3:
DFT (GGA-PBE) results for crystalline MgAgOs2 at its relaxed geometry.

Calculated total energy ... -6.29 eV per atom
Volume ... 15.6 Å³/atom

Lattice parameters (Å, degrees): 9.5650 9.5650 9.5650 16.60 16.60 16.60
Site moments in Bohr magnetons follow the coordinates.
Fractional coordinates of all 4 atoms:
Ag: 0.2500 0.2500 0.2500  0.01
Mg: 0.7500 0.7500 0.7500  0.00
Os: 0.0030 0.0030 0.0030  0.22
Os: 0.4970 0.4970 0.4970  0.22

***

Entry 4:
DFT (GGA-PBE) results for crystalline Mg4AgOs at its relaxed geometry.

Calculated total energy ... -2.89 eV per atom
Volume ... 18.3 Å³/atom

Lattice parameters (Å, degrees): 5.3718 5.3718 5.3718 60.00 60.00 60.00
Fractional coordinates of all 6 atoms:
Mg: 0.3755 0.8734 0.3755
Mg: 0.8734 0.3755 0.3755
Mg: 0.3755 0.3755 0.8734
Mg: 0.3755 0.3755 0.3755
Ag: 0.0000 0.0000 0.0000
Os: 0.7500 0.7500 0.7500

***

Entry 5:
DFT (GGA-PBE) results for crystalline MgAgOs2 at its relaxed geometry.

Calculated total energy ... -6.26 eV per atom
Volume ... 16.0 Å³/atom

Lattice parameters (Å, degrees): 2.7565 2.7565 9.4351 90.00 90.00 116.78
Fractional coordinates of all 4 atoms:
Ag: 0.0000 0.0000 0.5022
Mg: 0.5000 0.5000 0.7589
Os: 0.0000 0.0000 0.0050
Os: 0.5000 0.5000 0.2339

***

Entry 6:
DFT (GGA-PBE) results for crystalline MgAg3Os at its relaxed geometry.

Distance to the lowest polymorph of the same formula ... 0.00 eV/f.u.
Volume ... 26.2 Å³/atom

Lattice parameters (Å, degrees): 5.0818 5.0818 5.0818 90.00 90.00 90.00
Site moments in Bohr magnetons follow the coordinates.
Fractional coordinates of all 5 atoms:
Mg: 0.5000 0.5000 0.5000  0.02
Os: 0.0000 0.0000 0.0000  1.68
Ag: 0.0000 0.5000 0.0000  0.09
Ag: 0.0000 0.0000 0.5000  0.18
Ag: 0.5000 0.0000 0.0000  0.03